Entry 1:
A plane-wave DFT calculation with PBE-GGA was carried out for Li2HgSe after structural relaxation.

Calculated values
Its symmetry is Fm-3m, No. 225. The energy relative to the elements, uncorrected comes out at -0.703 eV/atom. Its energy relative to the lowest polymorph listed for this composition is 10.52 kJ/mol of atoms. The mass density is 6.25 Mg/m³. The calculated total energy is -10.4 eV per cell.

a = 4.795 Å, b = 4.795 Å, c = 4.795 Å
α = 60.00°, β = 60.00°, γ = 60.00°
Element x y z (fractional)
Li  0.250  0.250  0.250
Li  0.750  0.750  0.750
Hg  0.000  0.000  0.000
Se  0.500  0.500  0.500

Entry 2:
A plane-wave DFT calculation with PBE-GGA was carried out for Er2NiHRh6 after structural relaxation.

Calculated values
Its symmetry is C2/m, No. 12. The mass density is 10.82 Mg/m³. The calculated total energy is -66.1 eV per cell.

a = 5.506 Å, b = 5.506 Å, c = 6.714 Å
α = 114.21°, β = 114.21°, γ = 60.04°
Element x y z (fractional)
Er  0.214  0.214  0.142
Er  0.786  0.786  0.858
Ni  0.500  0.500  0.000
H  0.000  0.000  0.500
Rh  0.231  0.231  0.681
Rh  0.231  0.717  0.680
Rh  0.283  0.769  0.320
Rh  0.717  0.231  0.680
Rh  0.769  0.283  0.320
Rh  0.769  0.769  0.319

Entry 3:
A plane-wave DFT calculation with PBE-GGA was carried out for Dy5Sb2 after structural relaxation.

Calculated values
Its symmetry is C2/c, No. 15. The energy relative to the elements, uncorrected comes out at -0.607 eV/atom. The mass density is 8.47 Mg/m³. The calculated total energy is -71.0 eV per cell.

a = 8.630 Å, b = 8.630 Å, c = 8.231 Å
α = 95.91°, β = 95.91°, γ = 42.79°
Element x y z (fractional)
Dy  0.146  0.312  0.322
Dy  0.156  0.844  0.750
Dy  0.273  0.540  0.071
Dy  0.312  0.146  0.822
Dy  0.460  0.727  0.429
Dy  0.540  0.273  0.571
Dy  0.688  0.854  0.178
Dy  0.727  0.460  0.929
Dy  0.844  0.156  0.250
Dy  0.854  0.688  0.678
Sb  0.068  0.727  0.418
Sb  0.273  0.932  0.082
Sb  0.727  0.068  0.918
Sb  0.932  0.273  0.582

Entry 4:
A plane-wave DFT calculation with PBE-GGA was carried out for PmHfNi2 after structural relaxation.

Calculated values
Its symmetry is R-3m, No. 166. Its energy relative to the lowest polymorph listed for this composition is 3.05 kJ/mol of atoms. The mass density is 9.32 Mg/m³. The calculated total energy is -27.6 eV per cell.

a = 5.367 Å, b = 5.367 Å, c = 5.367 Å
α = 48.14°, β = 48.14°, γ = 48.14°
Element x y z (fractional)
Pm  0.000  0.000  0.000
Hf  0.500  0.500  0.500
Ni  0.208  0.208  0.208
Ni  0.792  0.792  0.792

Entry 5:
A plane-wave DFT calculation with PBE-GGA was carried out for Hg7C6 after structural relaxation.

Calculated values
Its symmetry is R-3m, No. 166. The mass density is 6.22 Mg/m³. The calculated total energy is -40.2 eV per cell.

a = 10.636 Å, b = 10.636 Å, c = 10.636 Å
α = 37.18°, β = 37.18°, γ = 37.18°
Element x y z (fractional)
Hg  0.000  0.000  0.000
Hg  0.057  0.057  0.576
Hg  0.057  0.576  0.057
Hg  0.424  0.943  0.943
Hg  0.576  0.057  0.057
Hg  0.943  0.424  0.943
Hg  0.943  0.943  0.424
C  0.138  0.138  0.138
C  0.261  0.261  0.261
C  0.304  0.304  0.304
C  0.696  0.696  0.696
C  0.739  0.739  0.739
C  0.862  0.862  0.862

Entry 6:
A plane-wave DFT calculation with PBE-GGA was carried out for Zr6Ga2N after structural relaxation.

Calculated values
Its symmetry is Amm2, No. 38. The energy relative to the elements, uncorrected comes out at -0.497 eV/atom. The mass density is 6.82 Mg/m³. The calculated total energy is -70.1 eV per cell.

a = 3.393 Å, b = 7.560 Å, c = 7.560 Å
α = 118.44°, β = 90.00°, γ = 90.00°
Element x y z (fractional)
Zr  0.000  0.000  0.000
Zr  0.000  0.523  0.752
Zr  0.000  0.752  0.523
Zr  0.500  0.158  0.755
Zr  0.500  0.340  0.340
Zr  0.500  0.755  0.158
Ga  0.000  0.083  0.424
Ga  0.000  0.424  0.083
N  0.500  0.803  0.803

Entry 7:
A plane-wave DFT calculation with PBE-GGA was carried out for GeTeAu3 after structural relaxation.

Calculated values
Its symmetry is Pm-3m, No. 221. The energy relative to the elements, uncorrected comes out at 0.757 eV/atom. Its energy relative to the lowest polymorph listed for this composition is 66.17 kJ/mol of atoms. The mass density is 9.00 Mg/m³. The calculated total energy is -13.8 eV per cell.

a = 5.266 Å, b = 5.266 Å, c = 5.266 Å
α = 90.00°, β = 90.00°, γ = 90.00°
Element x y z (fractional)
Ge  0.000  0.000  0.000
Te  0.500  0.500  0.500
Au  0.000  0.500  0.500
Au  0.500  0.000  0.500
Au  0.500  0.500  0.000

Entry 8:
A plane-wave DFT calculation with PBE-GGA was carried out for SmY2Pd after structural relaxation.

Calculated values
Its symmetry is R3m, No. 160. Its energy relative to the lowest polymorph listed for this composition is 15.17 kJ/mol of atoms. The mass density is 6.03 Mg/m³. The calculated total energy is -24.0 eV per cell.

a = 9.538 Å, b = 9.538 Å, c = 9.538 Å
α = 23.34°, β = 23.34°, γ = 23.34°
Element x y z (fractional)
Sm  0.000  0.000  0.000
Y  0.231  0.231  0.231
Y  0.439  0.439  0.439
Pd  0.835  0.835  0.835